(1)
First-principles (PBE) data for a relaxed LiLa2In crystal, as listed in Alexandria via LeMat-Bulk.

a b c (Å): 6.1970 6.1970 6.1970
angles (deg): 135.14 135.14 65.32
Sites, in units of the cell vectors:
Li (0.0000, 0.0000, 0.0000)
La (0.5000, 0.5000, 0.0000)
La (0.7500, 0.2500, 0.5000)
In (0.2500, 0.7500, 0.5000)

crystal system = tetragonal
VASP energy = -15.3 eV per cell
DOS(E_F) = 0.92 states/eV/atom
formation enthalpy at 0 K = -0.20 eV/atom
SG = I-4m2 (119)



(2)
First-principles (PBE) data for a relaxed Dy2PuBe crystal, as listed in Alexandria via LeMat-Bulk.

a b c (Å): 3.4151 3.4151 8.4514
angles (deg): 90.00 90.00 90.00
Sites, in units of the cell vectors:
Dy (0.0000, 0.0000, 0.1955)
Dy (0.0000, 0.0000, 0.8045)
Pu (0.5000, 0.5000, 0.5000)
Be (0.5000, 0.5000, 0.0000)

crystal system = tetragonal
VASP energy = -26.7 eV per cell
DOS(E_F) = 2.26 states/eV/atom
formation enthalpy at 0 K = 0.14 eV/atom
SG = P4/mmm (123)



(3)
First-principles (PBE) data for a relaxed KCuTc2 crystal, as listed in Alexandria via LeMat-Bulk.

a b c (Å): 4.4898 4.4898 7.2816
angles (deg): 91.75 91.75 34.27
Sites, in units of the cell vectors:
K (0.0000, 0.0000, 0.0000)
Cu (0.7526, 0.7526, 0.3311)
Tc (0.2370, 0.2370, 0.6450)
Tc (0.4808, 0.4808, 0.5050)

crystal system = monoclinic
VASP energy = -23.0 eV per cell
DOS(E_F) = 1.04 states/eV/atom
formation enthalpy at 0 K = 0.72 eV/atom
SG = Cm (8)



(4)
First-principles (PBE) data for a relaxed KPrAgSe3 crystal, as listed in Alexandria via LeMat-Bulk.

a b c (Å): 7.8000 7.8000 11.1775
angles (deg): 90.00 90.00 148.07
Sites, in units of the cell vectors:
K (0.2491, 0.7509, 0.7500)
K (0.7509, 0.2491, 0.2500)
Pr (0.0000, 0.0000, 0.0000)
Pr (0.0000, 0.0000, 0.5000)
Ag (0.4697, 0.5303, 0.2500)
Ag (0.5303, 0.4697, 0.7500)
Se (0.0767, 0.9233, 0.2500)
Se (0.3676, 0.6324, 0.0597)
Se (0.3676, 0.6324, 0.4403)
Se (0.6324, 0.3676, 0.5597)
Se (0.6324, 0.3676, 0.9403)
Se (0.9233, 0.0767, 0.7500)

crystal system = orthorhombic
VASP energy = -51.6 eV per cell
ΔE_f (raw) = -6.615 eV per formula unit
DOS(E_F) = 1.15 states/eV/atom
SG = Cmcm (63)



(5)
First-principles (PBE) data for a relaxed Y5W crystal, as listed in Alexandria via LeMat-Bulk.

a b c (Å): 6.2551 6.2551 6.2551
angles (deg): 60.00 60.00 60.00
Sites, in units of the cell vectors:
Y (0.0000, 0.0000, 0.0000)
Y (0.1295, 0.6235, 0.6235)
Y (0.6235, 0.1295, 0.6235)
Y (0.6235, 0.6235, 0.1295)
Y (0.6235, 0.6235, 0.6235)
W (0.2500, 0.2500, 0.2500)

crystal system = cubic
VASP energy = -40.0 eV per cell
DOS(E_F) = 1.57 states/eV/atom
formation enthalpy at 0 K = 0.88 eV/atom
SG = F-43m (216)



(6)
First-principles (PBE) data for a relaxed Ce2CF2 crystal, as listed in Alexandria via LeMat-Bulk.

a b c (Å): 8.5588 8.5588 8.5588
angles (deg): 24.17 24.17 24.17
Sites, in units of the cell vectors:
Ce (0.1067, 0.1067, 0.1067)
Ce (0.8933, 0.8933, 0.8933)
C (0.5000, 0.5000, 0.5000)
F (0.3848, 0.3848, 0.3848)
F (0.6152, 0.6152, 0.6152)

crystal system = trigonal
VASP energy = -35.2 eV per cell
ΔE_f (raw) = -10.399 eV per formula unit
DOS(E_F) = 1.30 states/eV/atom
SG = R-3m (166)



(7)
First-principles (PBE) data for a relaxed DyMgVS4 crystal, as listed in Alexandria via LeMat-Bulk.

a b c (Å): 7.5517 7.5517 7.5517
angles (deg): 120.22 118.82 90.84
Sites, in units of the cell vectors:
Dy (0.0000, 0.0000, 0.0000)
Dy (0.5000, 0.0000, 0.5000)
Mg (0.3781, 0.6281, 0.7500)
Mg (0.6219, 0.3719, 0.2500)
V (0.0000, 0.0000, 0.5000)
V (0.0000, 0.5000, 0.0000)
S (0.2100, 0.7448, 0.4652)
S (0.2204, 0.2552, 0.9652)
S (0.2331, 0.2319, 0.4988)
S (0.2331, 0.7342, 0.0012)
S (0.7669, 0.2658, 0.9988)
S (0.7669, 0.7681, 0.5012)
S (0.7796, 0.7448, 0.0348)
S (0.7900, 0.2552, 0.5348)

crystal system = orthorhombic
VASP energy = -83.1 eV per cell
ΔE_f (raw) = -9.727 eV per formula unit
DOS(E_F) = 0.73 states/eV/atom
SG = Imma (74)



(8)
First-principles (PBE) data for a relaxed Pr2PuAgS5 crystal, as listed in Alexandria via LeMat-Bulk.

a b c (Å): 8.5815 8.5815 12.2051
angles (deg): 90.00 90.00 152.88
Sites, in units of the cell vectors:
Pr (0.1138, 0.8862, 0.5000)
Pr (0.1250, 0.8750, 0.1181)
Pr (0.8750, 0.1250, 0.6181)
Pr (0.8862, 0.1138, 0.0000)
Pu (0.1938, 0.8062, 0.8178)
Pu (0.8062, 0.1938, 0.3178)
Ag (0.4749, 0.5251, 0.2855)
Ag (0.5251, 0.4749, 0.7855)
S (0.0458, 0.9542, 0.8976)
S (0.2913, 0.7087, 0.4737)
S (0.3047, 0.6953, 0.1579)
S (0.3587, 0.6413, 0.8133)
S (0.4994, 0.5006, 0.0885)
S (0.5006, 0.4994, 0.5885)
S (0.6413, 0.3587, 0.3133)
S (0.6953, 0.3047, 0.6579)
S (0.7087, 0.2913, 0.9737)
S (0.9542, 0.0458, 0.3976)

crystal system = orthorhombic
VASP energy = -122.8 eV per cell
ΔE_f (raw) = -14.024 eV per formula unit
DOS(E_F) = 1.25 states/eV/atom
SG = Cmc2_1 (36)



(9)
First-principles (PBE) data for a relaxed PuScTe2 crystal, as listed in Alexandria via LeMat-Bulk.

a b c (Å): 5.2631 5.2631 5.2631
angles (deg): 60.00 60.00 60.00
Sites, in units of the cell vectors:
Pu (0.0000, 0.0000, 0.0000)
Sc (0.5000, 0.5000, 0.5000)
Te (0.2500, 0.2500, 0.2500)
Te (0.7500, 0.7500, 0.7500)

crystal system = cubic
VASP energy = -30.7 eV per cell
ΔE_f (raw) = -3.749 eV per formula unit
DOS(E_F) = 1.22 states/eV/atom
SG = Fm-3m (225)



(10)
First-principles (PBE) data for a relaxed VZn2Fe crystal, as listed in Alexandria via LeMat-Bulk.

a b c (Å): 3.6000 3.6000 4.0706
angles (deg): 90.00 90.00 90.00
Sites, in units of the cell vectors:
V (0.0000, 0.0000, 0.0000)
Zn (0.0000, 0.5000, 0.5000)
Zn (0.5000, 0.0000, 0.5000)
Fe (0.5000, 0.5000, 0.0000)

crystal system = tetragonal
VASP energy = -19.9 eV per cell
DOS(E_F) = 0.90 states/eV/atom
formation enthalpy at 0 K = 0.06 eV/atom
SG = P4/mmm (123)



(11)
First-principles (PBE) data for a relaxed CrRePt crystal, as listed in Alexandria via LeMat-Bulk.

a b c (Å): 4.3023 4.3023 2.6724
angles (deg): 90.00 90.00 120.00
Sites, in units of the cell vectors:
Cr (0.0000, 0.0000, 0.0000)
Re (0.6667, 0.3333, 0.0000)
Pt (0.3333, 0.6667, 0.5000)

crystal system = hexagonal
VASP energy = -27.9 eV per cell
DOS(E_F) = 0.54 states/eV/atom
formation enthalpy at 0 K = 0.08 eV/atom
SG = P-6m2 (187)



(12)
First-principles (PBE) data for a relaxed Ce3Ga2Si crystal, as listed in Alexandria via LeMat-Bulk.

a b c (Å): 4.6246 13.8928 4.1805
angles (deg): 90.00 90.00 90.00
Sites, in units of the cell vectors:
Ce (0.2500, 0.0878, 0.0000)
Ce (0.2500, 0.4122, 0.0000)
Ce (0.2500, 0.7500, 0.0008)
Ce (0.7500, 0.2500, 0.9992)
Ce (0.7500, 0.5878, 0.0000)
Ce (0.7500, 0.9122, 0.0000)
Ga (0.2500, 0.5782, 0.5002)
Ga (0.2500, 0.9218, 0.5002)
Ga (0.7500, 0.0782, 0.4998)
Ga (0.7500, 0.4218, 0.4998)
Si (0.2500, 0.2500, 0.4996)
Si (0.7500, 0.7500, 0.5004)

crystal system = orthorhombic
VASP energy = -64.6 eV per cell
ΔE_f (raw) = -3.041 eV per formula unit
DOS(E_F) = 1.48 states/eV/atom
SG = Pmmn (59)



(13)
First-principles (PBE) data for a relaxed PuAgPd2 crystal, as listed in Alexandria via LeMat-Bulk.

a b c (Å): 4.7761 4.7761 4.7761
angles (deg): 60.00 60.00 60.00
Sites, in units of the cell vectors:
Pu (0.0000, 0.0000, 0.0000)
Ag (0.5000, 0.5000, 0.5000)
Pd (0.2500, 0.2500, 0.2500)
Pd (0.7500, 0.7500, 0.7500)

crystal system = cubic
VASP energy = -28.7 eV per cell
DOS(E_F) = 2.76 states/eV/atom
formation enthalpy at 0 K = -0.29 eV/atom
SG = Fm-3m (225)



(14)
First-principles (PBE) data for a relaxed MgFeTc2 crystal, as listed in Alexandria via LeMat-Bulk.

a b c (Å): 4.4983 4.4983 2.8201
angles (deg): 90.00 90.00 90.00
Sites, in units of the cell vectors:
Mg (0.0000, 0.0000, 0.0000)
Fe (0.5000, 0.5000, 0.0000)
Tc (0.0000, 0.5000, 0.5000)
Tc (0.5000, 0.0000, 0.5000)

crystal system = tetragonal
VASP energy = -29.2 eV per cell
DOS(E_F) = 1.02 states/eV/atom
formation enthalpy at 0 K = 0.39 eV/atom
SG = P4/mmm (123)



(15)
First-principles (PBE) data for a relaxed InSiSe2 crystal, as listed in Alexandria via LeMat-Bulk.

a b c (Å): 3.4776 4.7717 5.1389
angles (deg): 90.00 90.00 90.00
Sites, in units of the cell vectors:
In (0.0000, 0.0000, 0.0000)
Si (0.5000, 0.5000, 0.0000)
Se (0.0000, 0.5000, 0.5000)
Se (0.5000, 0.0000, 0.5000)

crystal system = orthorhombic
VASP energy = -13.6 eV per cell
ΔE_f (raw) = 1.481 eV per formula unit
DOS(E_F) = 0.52 states/eV/atom
SG = Pmmm (47)



(16)
First-principles (PBE) data for a relaxed Pr2NdPu crystal, as listed in Alexandria via LeMat-Bulk.

a b c (Å): 3.6142 3.6142 10.3719
angles (deg): 90.00 90.00 90.00
Sites, in units of the cell vectors:
Pr (0.0000, 0.0000, 0.2403)
Pr (0.0000, 0.0000, 0.7597)
Nd (0.5000, 0.5000, 0.5000)
Pu (0.5000, 0.5000, 0.0000)

crystal system = tetragonal
VASP energy = -28.2 eV per cell
DOS(E_F) = 2.37 states/eV/atom
formation enthalpy at 0 K = 0.12 eV/atom
SG = P4/mmm (123)



(17)
First-principles (PBE) data for a relaxed La2NdTm4Sc crystal, as listed in Alexandria via LeMat-Bulk.

a b c (Å): 7.0753 7.0753 12.2427
angles (deg): 106.53 106.53 60.20
Sites, in units of the cell vectors:
La (0.0000, 0.0000, 0.0000)
La (0.0000, 0.0000, 0.5000)
La (0.0000, 0.5000, 0.0000)
La (0.5000, 0.0000, 0.0000)
Nd (0.0000, 0.5000, 0.5000)
Nd (0.5000, 0.0000, 0.5000)
Tm (0.2515, 0.2515, 0.7510)
Tm (0.2525, 0.2525, 0.2541)
Tm (0.2524, 0.7466, 0.7490)
Tm (0.2534, 0.7476, 0.2510)
Tm (0.7466, 0.2524, 0.7490)
Tm (0.7476, 0.2534, 0.2510)
Tm (0.7475, 0.7475, 0.7459)
Tm (0.7485, 0.7485, 0.2490)
Sc (0.5000, 0.5000, 0.0000)
Sc (0.5000, 0.5000, 0.5000)

crystal system = monoclinic
VASP energy = -77.1 eV per cell
DOS(E_F) = 1.34 states/eV/atom
formation enthalpy at 0 K = 0.04 eV/atom
SG = C2/m (12)



(18)
First-principles (PBE) data for a relaxed Cs7K3Pt crystal, as listed in Alexandria via LeMat-Bulk.

a b c (Å): 9.1205 9.1205 13.0809
angles (deg): 107.45 107.45 97.26
Sites, in units of the cell vectors:
Cs (0.0000, 0.0000, 0.0000)
Cs (0.0630, 0.4056, 0.8483)
Cs (0.1875, 0.5374, 0.2508)
Cs (0.4056, 0.0630, 0.8483)
Cs (0.5149, 0.5149, 0.6717)
Cs (0.5374, 0.1875, 0.2508)
Cs (0.6070, 0.6070, 0.1169)
K (0.0728, 0.0728, 0.4294)
K (0.6343, 0.9668, 0.5465)
K (0.9668, 0.6343, 0.5465)
Pt (0.3018, 0.3018, 0.0516)

crystal system = monoclinic
VASP energy = -15.5 eV per cell
DOS(E_F) = 0.78 states/eV/atom
formation enthalpy at 0 K = -0.01 eV/atom
SG = Cm (8)



(19)
First-principles (PBE) data for a relaxed CaCoIrOs2 crystal, as listed in Alexandria via LeMat-Bulk.

a b c (Å): 4.3950 4.3950 4.6960
angles (deg): 90.00 90.00 90.00
Sites, in units of the cell vectors:
Ca (0.0000, 0.0000, 0.0000)
Co (0.0000, 0.0000, 0.5000)
Ir (0.5000, 0.5000, 0.0000)
Os (0.0000, 0.5000, 0.5000)
Os (0.5000, 0.0000, 0.5000)

crystal system = tetragonal
VASP energy = -33.3 eV per cell
DOS(E_F) = 1.44 states/eV/atom
formation enthalpy at 0 K = 1.42 eV/atom
SG = P4/mmm (123)



(20)
First-principles (PBE) data for a relaxed In2NiAu crystal, as listed in Alexandria via LeMat-Bulk.

a b c (Å): 3.5776 4.1682 5.4527
angles (deg): 90.00 107.68 90.00
Sites, in units of the cell vectors:
In (0.0000, 0.0000, 0.0000)
In (0.3020, 0.5000, 0.6121)
Ni (0.5494, 0.5000, 0.1260)
Au (0.7219, 0.0000, 0.4445)

crystal system = monoclinic
VASP energy = -14.9 eV per cell
DOS(E_F) = 0.52 states/eV/atom
formation enthalpy at 0 K = -0.09 eV/atom
SG = Pm (6)